#P
! CaTe2MoN GGA-PBE optimized geometry; values from VASP
&SYSTEM
  ibrav = 0, nat = 5, ntyp = 4
/
ATOMIC_SPECIES
Ca 40.08 Ca.upf
Te 127.60 Te.upf
Mo 95.94 Mo.upf
N 14.01 N.upf
CELL_PARAMETERS angstrom
5.809 0.000 0.000
0.000 5.809 0.000
0.000 0.000 4.081
ATOMIC_POSITIONS crystal
Ca 0.000 0.000 0.000
Te 0.000 0.500 0.000
Te 0.500 0.000 0.000
Mo 0.500 0.500 0.500
N 0.000 0.000 0.500
! * total moment: 3.50 μB per formula unit

#Q
! CaTe2MoN GGA-PBE optimized geometry; values from VASP
&SYSTEM
  ibrav = 0, nat = 5, ntyp = 4
/
ATOMIC_SPECIES
Ca 40.08 Ca.upf
Te 127.60 Te.upf
Mo 95.94 Mo.upf
N 14.01 N.upf
CELL_PARAMETERS angstrom
5.602 0.000 0.000
0.000 5.602 0.000
0.000 0.000 3.853
ATOMIC_POSITIONS crystal
Ca 0.000 0.000 0.000
Te 0.000 0.500 0.500
Te 0.500 0.000 0.500
Mo 0.500 0.500 0.500
N 0.500 0.500 0.000
! * total moment: 0.94 μB per formula unit

Most stable of them? #Q.

#P
! NaCa2Mo GGA-PBE optimized geometry; values from VASP
&SYSTEM
  ibrav = 0, nat = 16, ntyp = 3
/
ATOMIC_SPECIES
Na 22.99 Na.upf
Ca 40.08 Ca.upf
Mo 95.94 Mo.upf
CELL_PARAMETERS angstrom
8.034 0.000 0.000
0.000 8.034 0.000
0.000 0.000 11.764
ATOMIC_POSITIONS crystal
Na 0.000 0.000 0.000
Na 0.000 0.500 0.250
Na 0.500 0.000 0.750
Na 0.500 0.500 0.500
Ca 0.007 0.250 0.625
Ca 0.250 0.507 0.875
Ca 0.250 0.993 0.375
Ca 0.493 0.250 0.125
Ca 0.507 0.750 0.125
Ca 0.750 0.007 0.375
Ca 0.750 0.493 0.875
Ca 0.993 0.750 0.625
Mo 0.000 0.000 0.500
Mo 0.000 0.500 0.750
Mo 0.500 0.000 0.250
Mo 0.500 0.500 0.000
! * total moment: 1.11 μB per formula unit

#Q
! NaCa2Mo GGA-PBE optimized geometry; values from VASP
&SYSTEM
  ibrav = 0, nat = 16, ntyp = 3
/
ATOMIC_SPECIES
Na 22.99 Na.upf
Ca 40.08 Ca.upf
Mo 95.94 Mo.upf
CELL_PARAMETERS angstrom
7.750 0.000 0.000
0.000 7.750 0.000
0.000 0.000 7.750
ATOMIC_POSITIONS crystal
Na 0.000 0.000 0.000
Na 0.000 0.500 0.500
Na 0.500 0.000 0.500
Na 0.500 0.500 0.000
Ca 0.250 0.250 0.250
Ca 0.250 0.250 0.750
Ca 0.250 0.750 0.250
Ca 0.250 0.750 0.750
Ca 0.750 0.250 0.250
Ca 0.750 0.250 0.750
Ca 0.750 0.750 0.250
Ca 0.750 0.750 0.750
Mo 0.000 0.000 0.500
Mo 0.000 0.500 0.000
Mo 0.500 0.000 0.000
Mo 0.500 0.500 0.500
! * total moment: 3.13 μB per formula unit

Most stable of them? #Q.

#P
! CaNb2Mo GGA-PBE optimized geometry; values from VASP
&SYSTEM
  ibrav = 0, nat = 16, ntyp = 3
/
ATOMIC_SPECIES
Ca 40.08 Ca.upf
Nb 92.91 Nb.upf
Mo 95.94 Mo.upf
CELL_PARAMETERS angstrom
4.103 0.000 0.000
0.000 4.103 0.000
0.000 0.000 20.015
ATOMIC_POSITIONS crystal
Ca 0.000 0.000 0.000
Ca 0.000 0.500 0.250
Ca 0.500 0.000 0.750
Ca 0.500 0.500 0.500
Nb 0.225 0.250 0.625
Nb 0.250 0.725 0.875
Nb 0.250 0.775 0.375
Nb 0.275 0.250 0.125
Nb 0.725 0.750 0.125
Nb 0.750 0.225 0.375
Nb 0.750 0.275 0.875
Nb 0.775 0.750 0.625
Mo 0.000 0.000 0.500
Mo 0.000 0.500 0.750
Mo 0.500 0.000 0.250
Mo 0.500 0.500 0.000
! * total moment: 0.00 μB per formula unit

#Q
! CaNb2Mo GGA-PBE optimized geometry; values from VASP
&SYSTEM
  ibrav = 0, nat = 16, ntyp = 3
/
ATOMIC_SPECIES
Ca 40.08 Ca.upf
Nb 92.91 Nb.upf
Mo 95.94 Mo.upf
CELL_PARAMETERS angstrom
6.758 0.000 0.000
0.000 6.758 0.000
0.000 0.000 6.758
ATOMIC_POSITIONS crystal
Ca 0.000 0.000 0.000
Ca 0.000 0.500 0.500
Ca 0.500 0.000 0.500
Ca 0.500 0.500 0.000
Nb 0.250 0.250 0.250
Nb 0.250 0.250 0.750
Nb 0.250 0.750 0.250
Nb 0.250 0.750 0.750
Nb 0.750 0.250 0.250
Nb 0.750 0.250 0.750
Nb 0.750 0.750 0.250
Nb 0.750 0.750 0.750
Mo 0.000 0.000 0.500
Mo 0.000 0.500 0.000
Mo 0.500 0.000 0.000
Mo 0.500 0.500 0.500
! * total moment: 0.00 μB per formula unit

Most stable of them? #Q.

#P
! Ca2NbMoSe GGA-PBE optimized geometry; values from VASP
&SYSTEM
  ibrav = 0, nat = 5, ntyp = 4
/
ATOMIC_SPECIES
Ca 40.08 Ca.upf
Nb 92.91 Nb.upf
Mo 95.94 Mo.upf
Se 78.96 Se.upf
CELL_PARAMETERS angstrom
5.789 0.000 0.000
0.000 5.789 0.000
0.000 0.000 4.561
ATOMIC_POSITIONS crystal
Ca 0.000 0.500 0.000
Ca 0.500 0.000 0.000
Nb 0.000 0.000 0.000
Mo 0.000 0.000 0.500
Se 0.500 0.500 0.500
! * total moment: 0.00 μB per formula unit

#Q
! Ca2NbMoSe GGA-PBE optimized geometry; values from VASP
&SYSTEM
  ibrav = 0, nat = 5, ntyp = 4
/
ATOMIC_SPECIES
Ca 40.08 Ca.upf
Nb 92.91 Nb.upf
Mo 95.94 Mo.upf
Se 78.96 Se.upf
CELL_PARAMETERS angstrom
5.771 0.000 0.000
0.000 5.771 0.000
0.000 0.000 4.800
ATOMIC_POSITIONS crystal
Ca 0.000 0.500 0.000
Ca 0.500 0.000 0.000
Nb 0.000 0.000 0.000
Mo 0.500 0.500 0.500
Se 0.000 0.000 0.500
! * total moment: 2.10 μB per formula unit

Most stable of them? #P.

#P
! CaNiMo GGA-PBE optimized geometry; values from VASP
&SYSTEM
  ibrav = 0, nat = 6, ntyp = 3
/
ATOMIC_SPECIES
Ca 40.08 Ca.upf
Ni 58.69 Ni.upf
Mo 95.94 Mo.upf
CELL_PARAMETERS angstrom
3.293 0.000 0.000
-0.009 5.677 0.000
-1.642 -2.552 6.439
ATOMIC_POSITIONS crystal
Ca 0.000 0.000 0.000
Ca 0.369 0.384 0.738
Ni 0.063 0.572 0.126
Ni 0.683 0.010 0.364
Mo 0.261 0.798 0.522
Mo 0.676 0.462 0.352
! * total moment: 0.00 μB per formula unit

#Q
! CaNiMo GGA-PBE optimized geometry; values from VASP
&SYSTEM
  ibrav = 0, nat = 12, ntyp = 3
/
ATOMIC_SPECIES
Ca 40.08 Ca.upf
Ni 58.69 Ni.upf
Mo 95.94 Mo.upf
CELL_PARAMETERS angstrom
11.745 0.000 0.000
0.000 3.315 0.000
-1.739 0.000 5.885
ATOMIC_POSITIONS crystal
Ca 0.000 0.000 0.000
Ca 0.000 0.000 0.500
Ca 0.500 0.500 0.000
Ca 0.500 0.500 0.500
Ni 0.197 0.500 0.360
Ni 0.303 0.000 0.640
Ni 0.697 0.000 0.360
Ni 0.803 0.500 0.640
Mo 0.211 0.500 0.847
Mo 0.289 0.000 0.153
Mo 0.711 0.000 0.847
Mo 0.789 0.500 0.153
! * total moment: 0.00 μB per formula unit

#R
! CaNiMo GGA-PBE optimized geometry; values from VASP
&SYSTEM
  ibrav = 0, nat = 12, ntyp = 3
/
ATOMIC_SPECIES
Ca 40.08 Ca.upf
Ni 58.69 Ni.upf
Mo 95.94 Mo.upf
CELL_PARAMETERS angstrom
4.258 0.000 0.000
0.000 7.395 0.000
0.000 0.000 7.217
ATOMIC_POSITIONS crystal
Ca 0.250 0.178 0.000
Ca 0.250 0.322 0.500
Ca 0.750 0.678 0.500
Ca 0.750 0.822 0.000
Ni 0.250 0.592 0.827
Ni 0.250 0.908 0.327
Ni 0.750 0.092 0.327
Ni 0.750 0.408 0.827
Mo 0.250 0.595 0.164
Mo 0.250 0.905 0.664
Mo 0.750 0.095 0.664
Mo 0.750 0.405 0.164
! * total moment: 0.00 μB per formula unit

Most stable of them? #R.

#P
! CaNi2Mo GGA-PBE optimized geometry; values from VASP
&SYSTEM
  ibrav = 0, nat = 8, ntyp = 3
/
ATOMIC_SPECIES
Ca 40.08 Ca.upf
Ni 58.69 Ni.upf
Mo 95.94 Mo.upf
CELL_PARAMETERS angstrom
9.903 0.000 0.000
0.000 2.680 0.000
-1.182 0.000 4.611
ATOMIC_POSITIONS crystal
Ca 0.000 0.000 0.000
Ca 0.500 0.500 0.000
Ni 0.261 0.500 0.154
Ni 0.459 0.000 0.488
Ni 0.761 0.000 0.154
Ni 0.959 0.500 0.488
Mo 0.205 0.000 0.613
Mo 0.705 0.500 0.613
! * total moment: 0.00 μB per formula unit

#Q
! CaNi2Mo GGA-PBE optimized geometry; values from VASP
&SYSTEM
  ibrav = 0, nat = 16, ntyp = 3
/
ATOMIC_SPECIES
Ca 40.08 Ca.upf
Ni 58.69 Ni.upf
Mo 95.94 Mo.upf
CELL_PARAMETERS angstrom
7.049 0.000 0.000
0.000 7.049 0.000
0.000 0.000 5.876
ATOMIC_POSITIONS crystal
Ca 0.000 0.000 0.000
Ca 0.000 0.500 0.250
Ca 0.500 0.000 0.750
Ca 0.500 0.500 0.500
Ni 0.199 0.250 0.625
Ni 0.250 0.699 0.875
Ni 0.250 0.801 0.375
Ni 0.301 0.250 0.125
Ni 0.699 0.750 0.125
Ni 0.750 0.199 0.375
Ni 0.750 0.301 0.875
Ni 0.801 0.750 0.625
Mo 0.000 0.000 0.500
Mo 0.000 0.500 0.750
Mo 0.500 0.000 0.250
Mo 0.500 0.500 0.000
! * total moment: 1.99 μB per formula unit

#R
! CaNi2Mo GGA-PBE optimized geometry; values from VASP
&SYSTEM
  ibrav = 0, nat = 8, ntyp = 3
/
ATOMIC_SPECIES
Ca 40.08 Ca.upf
Ni 58.69 Ni.upf
Mo 95.94 Mo.upf
CELL_PARAMETERS angstrom
3.779 0.000 0.000
0.000 3.779 0.000
0.000 0.000 8.773
ATOMIC_POSITIONS crystal
Ca 0.000 0.000 0.000
Ca 0.500 0.500 0.500
Ni 0.000 0.000 0.500
Ni 0.000 0.500 0.250
Ni 0.500 0.000 0.750
Ni 0.500 0.500 0.000
Mo 0.000 0.500 0.750
Mo 0.500 0.000 0.250
! * total moment: 1.22 μB per formula unit

#S
! CaNi2Mo GGA-PBE optimized geometry; values from VASP
&SYSTEM
  ibrav = 0, nat = 16, ntyp = 3
/
ATOMIC_SPECIES
Ca 40.08 Ca.upf
Ni 58.69 Ni.upf
Mo 95.94 Mo.upf
CELL_PARAMETERS angstrom
6.210 0.000 0.000
0.000 6.210 0.000
0.000 0.000 6.210
ATOMIC_POSITIONS crystal
Ca 0.000 0.000 0.000
Ca 0.000 0.500 0.500
Ca 0.500 0.000 0.500
Ca 0.500 0.500 0.000
Ni 0.000 0.000 0.500
Ni 0.000 0.500 0.000
Ni 0.250 0.250 0.750
Ni 0.250 0.750 0.250
Ni 0.500 0.000 0.000
Ni 0.500 0.500 0.500
Ni 0.750 0.250 0.250
Ni 0.750 0.750 0.750
Mo 0.250 0.250 0.250
Mo 0.250 0.750 0.750
Mo 0.750 0.250 0.750
Mo 0.750 0.750 0.250
! * total moment: 0.00 μB per formula unit

Most stable of them? #P.

#P
! CaNi2Mo GGA-PBE optimized geometry; values from VASP
&SYSTEM
  ibrav = 0, nat = 4, ntyp = 3
/
ATOMIC_SPECIES
Ca 40.08 Ca.upf
Ni 58.69 Ni.upf
Mo 95.94 Mo.upf
CELL_PARAMETERS angstrom
4.741 0.000 0.000
0.000 4.741 0.000
0.000 0.000 2.724
ATOMIC_POSITIONS crystal
Ca 0.000 0.000 0.000
Ni 0.000 0.500 0.500
Ni 0.500 0.000 0.500
Mo 0.500 0.500 0.000
! * total moment: 0.00 μB per formula unit

#Q
! CaNi2Mo GGA-PBE optimized geometry; values from VASP
&SYSTEM
  ibrav = 0, nat = 8, ntyp = 3
/
ATOMIC_SPECIES
Ca 40.08 Ca.upf
Ni 58.69 Ni.upf
Mo 95.94 Mo.upf
CELL_PARAMETERS angstrom
2.724 0.000 0.000
0.000 4.582 0.000
0.000 0.000 9.990
ATOMIC_POSITIONS crystal
Ca 0.000 0.000 0.000
Ca 0.500 0.500 0.500
Ni 0.000 0.000 0.515
Ni 0.000 0.500 0.226
Ni 0.500 0.000 0.726
Ni 0.500 0.500 0.015
Mo 0.000 0.500 0.793
Mo 0.500 0.000 0.293
! * total moment: 0.00 μB per formula unit

#R
! CaNi2Mo GGA-PBE optimized geometry; values from VASP
&SYSTEM
  ibrav = 0, nat = 4, ntyp = 3
/
ATOMIC_SPECIES
Ca 40.08 Ca.upf
Ni 58.69 Ni.upf
Mo 95.94 Mo.upf
CELL_PARAMETERS angstrom
3.117 0.000 0.000
0.000 3.117 0.000
0.000 0.000 6.813
ATOMIC_POSITIONS crystal
Ca 0.000 0.000 0.000
Ni 0.000 0.000 0.527
Ni 0.500 0.500 0.708
Mo 0.500 0.500 0.348
! * total moment: 0.00 μB per formula unit

#S
! CaNi2Mo GGA-PBE optimized geometry; values from VASP
&SYSTEM
  ibrav = 0, nat = 16, ntyp = 3
/
ATOMIC_SPECIES
Ca 40.08 Ca.upf
Ni 58.69 Ni.upf
Mo 95.94 Mo.upf
CELL_PARAMETERS angstrom
6.313 0.000 0.000
0.000 6.313 0.000
0.000 0.000 6.313
ATOMIC_POSITIONS crystal
Ca 0.000 0.000 0.000
Ca 0.000 0.500 0.500
Ca 0.500 0.000 0.500
Ca 0.500 0.500 0.000
Ni 0.250 0.250 0.250
Ni 0.250 0.250 0.750
Ni 0.250 0.750 0.250
Ni 0.250 0.750 0.750
Ni 0.750 0.250 0.250
Ni 0.750 0.250 0.750
Ni 0.750 0.750 0.250
Ni 0.750 0.750 0.750
Mo 0.000 0.000 0.500
Mo 0.000 0.500 0.000
Mo 0.500 0.000 0.000
Mo 0.500 0.500 0.500
! * total moment: 0.00 μB per formula unit

Most stable of them? #P.

#P
! CaNiMo3 GGA-PBE optimized geometry; values from VASP
&SYSTEM
  ibrav = 0, nat = 5, ntyp = 3
/
ATOMIC_SPECIES
Ca 40.08 Ca.upf
Ni 58.69 Ni.upf
Mo 95.94 Mo.upf
CELL_PARAMETERS angstrom
4.626 0.000 0.000
0.000 4.626 0.000
0.000 0.000 4.626
ATOMIC_POSITIONS crystal
Ca 0.000 0.000 0.000
Ni 0.500 0.500 0.500
Mo 0.000 0.500 0.500
Mo 0.500 0.000 0.500
Mo 0.500 0.500 0.000
! * total moment: 0.00 μB per formula unit

#Q
! CaNiMo3 GGA-PBE optimized geometry; values from VASP
&SYSTEM
  ibrav = 0, nat = 5, ntyp = 3
/
ATOMIC_SPECIES
Ca 40.08 Ca.upf
Ni 58.69 Ni.upf
Mo 95.94 Mo.upf
CELL_PARAMETERS angstrom
4.536 0.000 0.000
0.000 4.536 0.000
0.000 0.000 4.536
ATOMIC_POSITIONS crystal
Ca 0.000 0.000 0.000
Ni 0.500 0.500 0.500
Mo 0.000 0.000 0.500
Mo 0.000 0.500 0.000
Mo 0.500 0.000 0.000
! * total moment: 0.00 μB per formula unit

Most stable of them? #P.

#P
! Ca3NiMo GGA-PBE optimized geometry; values from VASP
&SYSTEM
  ibrav = 0, nat = 5, ntyp = 3
/
ATOMIC_SPECIES
Ca 40.08 Ca.upf
Ni 58.69 Ni.upf
Mo 95.94 Mo.upf
CELL_PARAMETERS angstrom
5.338 0.000 0.000
0.000 5.338 0.000
0.000 0.000 5.338
ATOMIC_POSITIONS crystal
Ca 0.000 0.000 0.500
Ca 0.000 0.500 0.000
Ca 0.500 0.000 0.000
Ni 0.500 0.500 0.500
Mo 0.000 0.000 0.000
! * total moment: 0.00 μB per formula unit

#Q
! Ca3NiMo GGA-PBE optimized geometry; values from VASP
&SYSTEM
  ibrav = 0, nat = 5, ntyp = 3
/
ATOMIC_SPECIES
Ca 40.08 Ca.upf
Ni 58.69 Ni.upf
Mo 95.94 Mo.upf
CELL_PARAMETERS angstrom
5.342 0.000 0.000
0.000 5.342 0.000
0.000 0.000 5.342
ATOMIC_POSITIONS crystal
Ca 0.000 0.000 0.500
Ca 0.000 0.500 0.000
Ca 0.500 0.000 0.000
Ni 0.000 0.000 0.000
Mo 0.500 0.500 0.500
! * total moment: 4.33 μB per formula unit

Most stable of them? #Q.

#P
! CaNi3Mo GGA-PBE optimized geometry; values from VASP
&SYSTEM
  ibrav = 0, nat = 5, ntyp = 3
/
ATOMIC_SPECIES
Ca 40.08 Ca.upf
Ni 58.69 Ni.upf
Mo 95.94 Mo.upf
CELL_PARAMETERS angstrom
4.441 0.000 0.000
0.000 4.441 0.000
0.000 0.000 4.441
ATOMIC_POSITIONS crystal
Ca 0.000 0.000 0.000
Ni 0.000 0.000 0.500
Ni 0.000 0.500 0.000
Ni 0.500 0.000 0.000
Mo 0.500 0.500 0.500
! * total moment: 4.12 μB per formula unit

#Q
! CaNi3Mo GGA-PBE optimized geometry; values from VASP
&SYSTEM
  ibrav = 0, nat = 5, ntyp = 3
/
ATOMIC_SPECIES
Ca 40.08 Ca.upf
Ni 58.69 Ni.upf
Mo 95.94 Mo.upf
CELL_PARAMETERS angstrom
4.581 0.000 0.000
0.000 4.581 0.000
0.000 0.000 4.581
ATOMIC_POSITIONS crystal
Ca 0.000 0.000 0.000
Ni 0.000 0.500 0.500
Ni 0.500 0.000 0.500
Ni 0.500 0.500 0.000
Mo 0.500 0.500 0.500
! * total moment: 0.00 μB per formula unit

Most stable of them? #Q.